1.
# PBEsol K2NaErCl6, relaxed
data_K2NaErCl6
_chemical_formula_sum 'K8 Na4 Er4 Cl24'
_symmetry_space_group_name_H-M 'F m -3 m'
_symmetry_Int_Tables_number 225
_symmetry_space_group_name_Hall '-F 4 2 3'
_cell_length_a 10.467
_cell_length_b 10.467
_cell_length_c 10.467
_cell_angle_alpha 90.00
_cell_angle_beta 90.00
_cell_angle_gamma 90.00
loop_
_atom_site_label
_atom_site_fract_x
_atom_site_fract_y
_atom_site_fract_z
K1 0.250 0.250 0.250
Na1 0.000 0.000 0.000
Er1 0.000 0.000 0.500
Cl1 0.000 0.000 0.255
# Total magnetization in μB/atom: 0.000
# Raw formation energy in eV/atom: -2.050

***

2.
# PBEsol KRb2ErCl6, relaxed
data_KRb2ErCl6
_chemical_formula_sum 'K4 Rb8 Er4 Cl24'
_symmetry_space_group_name_H-M 'F m -3 m'
_symmetry_Int_Tables_number 225
_symmetry_space_group_name_Hall '-F 4 2 3'
_cell_length_a 10.980
_cell_length_b 10.980
_cell_length_c 10.980
_cell_angle_alpha 90.00
_cell_angle_beta 90.00
_cell_angle_gamma 90.00
loop_
_atom_site_label
_atom_site_fract_x
_atom_site_fract_y
_atom_site_fract_z
K1 0.000 0.000 0.000
Rb1 0.250 0.250 0.250
Er1 0.000 0.000 0.500
Cl1 0.000 0.000 0.266
# Total magnetization in μB/atom: 0.000
# Raw formation energy in eV/atom: -2.088

***

3.
# PBEsol K2RbErCl6, relaxed
data_K2RbErCl6
_chemical_formula_sum 'K8 Rb4 Er4 Cl24'
_symmetry_space_group_name_H-M 'F m -3 m'
_symmetry_Int_Tables_number 225
_symmetry_space_group_name_Hall '-F 4 2 3'
_cell_length_a 11.196
_cell_length_b 11.196
_cell_length_c 11.196
_cell_angle_alpha 90.00
_cell_angle_beta 90.00
_cell_angle_gamma 90.00
loop_
_atom_site_label
_atom_site_fract_x
_atom_site_fract_y
_atom_site_fract_z
K1 0.250 0.250 0.250
Rb1 0.000 0.000 0.000
Er1 0.000 0.000 0.500
Cl1 0.000 0.000 0.270
# Total magnetization in μB/atom: 0.000
# Raw formation energy in eV/atom: -2.019

***

4.
# PBEsol Li3ErCl6, relaxed
data_Li3ErCl6
_chemical_formula_sum 'Li9 Er3 Cl18'
_symmetry_space_group_name_H-M 'P 3 2 1'
_symmetry_Int_Tables_number 150
_symmetry_space_group_name_Hall 'P 3 2"'
_cell_length_a 10.9279
_cell_length_b 10.9279
_cell_length_c 5.9953
_cell_angle_alpha 90.00
_cell_angle_beta 90.00
_cell_angle_gamma 120.00
loop_
_atom_site_label
_atom_site_fract_x
_atom_site_fract_y
_atom_site_fract_z
Li1 0.0000 0.3421 0.0000
Li2 0.0000 0.6640 0.0000
Li3 0.0000 0.6785 0.5000
Er1 0.0000 0.0000 0.0000
Er2 0.3333 0.6667 0.5030
Cl1 0.1071 0.5613 0.7505
Cl2 0.1151 0.2304 0.7673
Cl3 0.2143 0.7746 0.2596
# Total magnetization in μB/atom: 0.000
# Raw formation energy in eV/atom: -1.992

***

5.
# PBEsol ErMoClO4, relaxed
data_ErMoClO4
_chemical_formula_sum 'Er4 Mo4 Cl4 O16'
_symmetry_space_group_name_H-M 'C 1 2/m 1'
_symmetry_Int_Tables_number 12
_symmetry_space_group_name_Hall '-C 2y'
_cell_length_a 10.094
_cell_length_b 7.155
_cell_length_c 6.738
_cell_angle_alpha 90.00
_cell_angle_beta 107.57
_cell_angle_gamma 90.00
loop_
_atom_site_label
_atom_site_fract_x
_atom_site_fract_y
_atom_site_fract_z
Er1 0.222 0.000 0.108
Mo1 0.138 0.500 0.268
Cl1 0.008 0.000 0.764
O1 0.044 0.500 0.802
O2 0.202 0.308 0.154
O3 0.205 0.500 0.537
# Total magnetization in μB/atom: 0.000
# Raw formation energy in eV/atom: -2.528

***

6.
# PBEsol NaErCl4, relaxed
data_NaErCl4
_chemical_formula_sum 'Na2 Er2 Cl8'
_symmetry_space_group_name_H-M 'P 1 2/c 1'
_symmetry_Int_Tables_number 13
_symmetry_space_group_name_Hall '-P 2yc'
_cell_length_a 6.302
_cell_length_b 7.598
_cell_length_c 6.681
_cell_angle_alpha 90.00
_cell_angle_beta 92.25
_cell_angle_gamma 90.00
loop_
_atom_site_label
_atom_site_fract_x
_atom_site_fract_y
_atom_site_fract_z
Na1 0.000 0.148 0.250
Er1 0.500 0.345 0.750
Cl1 0.246 0.124 0.596
Cl2 0.275 0.396 0.066
# Total magnetization in μB/atom: 0.000
# Raw formation energy in eV/atom: -2.110

***

Question: Look up the raw formation energy of the first one.
Answer: -2.050 eV/atom